[1]
Below is a relaxed Tl2SiPdC crystal, with properties calculated at the PBE-GGA level.

Cell: 5.3833 5.3833 4.5847 Å, 90.00 90.00 90.00°
Closest atoms and distances in Å follow each position.
Space group P4/mmm (No. 123)
Asymmetric unit:
Tl1 0.0000 0.5000 0.0000 x2  2 Si 2.69
Si1 0.0000 0.0000 0.0000 x1  2 Pd 2.29
Pd1 0.0000 0.0000 0.5000 x1  2 Si 2.29
C1 0.5000 0.5000 0.5000 x1  8 Tl 3.54, 4 Pd 3.81

Values from the calculation:
Its crystal system is tetragonal. The energy is -3.40 eV per atom.



[2]
Below is a relaxed Sm6GaCu2 crystal, with properties calculated at the PBE-GGA level.

Cell: 9.5561 10.0281 10.1995 Å, 90.00 90.00 90.00°
Closest atoms and distances in Å follow each position.
Space group Immm (No. 71)
Asymmetric unit:
Sm1 0.0000 0.1923 0.2416 x8  1 Cu 2.94, 2 Ga 3.13-3.27
Sm2 0.2004 0.5000 0.1757 x8  3 Cu 2.83-3.02
Sm3 0.2264 0.3206 0.5000 x8  3 Cu 3.07-3.13, 1 Ga 3.17
Ga1 0.0000 0.0000 0.0000 x2  8 Sm 3.13-3.17
Ga2 0.0000 0.0000 0.5000 x2  8 Sm 3.27-3.38
Cu1 0.0000 0.3512 0.0000 x4  8 Sm 2.94-3.13, 1 Cu 2.98
Cu2 0.0000 0.5000 0.3802 x4  1 Cu 2.44

Values from the calculation:
Its crystal system is orthorhombic. As for the energy of formation from the pure elements: -0.20 eV per atom.



[3]
Below is a relaxed PmAl2SiPt4 crystal, with properties calculated at the PBE-GGA level.

Cell: 4.2862 4.2862 26.1914 Å, 90.00 90.00 120.00°
Closest atoms and distances in Å follow each position.
Space group R-3m (No. 166, hexagonal axes)
Asymmetric unit:
Pm1 0.0000 0.0000 0.0000 x3  6 Pt 3.14, 6 Al 3.39
Al1 0.0000 0.0000 0.2446 x6  7 Pt 2.51-2.79
Si1 0.0000 0.0000 0.5000 x3  8 Pt 2.44-2.59
Pt1 0.0000 0.0000 0.1380 x6  3 Si 2.59, 4 Al 2.79, 3 Pt 2.89
Pt2 0.0000 0.0000 0.4070 x6  1 Si 2.44, 3 Al 2.51

Values from the calculation:
Its crystal system is trigonal. The energy is -6.19 eV per atom.



[4]
Below is a relaxed OsC2 crystal, with properties calculated at the PBE-GGA level.

Cell: 2.6580 2.6580 30.8208 Å, 90.00 90.00 90.00°
Closest atoms and distances in Å follow each position.
Space group I4_1/amd (No. 141, origin choice 2)
Asymmetric unit:
Os1 0.0000 0.2500 0.3154 x8  4 C 2.10-2.19
C1 0.0000 0.2500 0.0127 x8  2 C 1.54
C2 0.0000 0.2500 0.1282 x8  4 C 1.89

Values from the calculation:
The calculation puts the energy above the most stable polymorph in this dataset at 879 meV/atom. Its crystal system is tetragonal. As for the energy of formation from the pure elements: 1.44 eV per atom.



[5]
Below is a relaxed CuTcMo2 crystal, with properties calculated at the PBE-GGA level.

Cell: 3.8706 3.8706 3.8815 Å, 90.00 90.00 90.00°
Closest atoms and distances in Å follow each position.
Space group P4/mmm (No. 123)
Asymmetric unit:
Cu1 0.0000 0.0000 0.0000 x1  4 Tc 2.74, 8 Mo 2.74
Tc1 0.5000 0.5000 0.0000 x1  4 Cu 2.74, 8 Mo 2.74
Mo1 0.0000 0.5000 0.5000 x2  4 Mo 2.74, 4 Tc 2.74, 4 Cu 2.74

Values from the calculation:
The calculation puts the energy above the most stable polymorph in this dataset at 0 meV/atom. Its crystal system is tetragonal. As for the energy of formation from the pure elements: 0.14 eV per atom.



[6]
Below is a relaxed CdCoSiNi2 crystal, with properties calculated at the PBE-GGA level.

Cell: 4.1981 4.1981 4.8281 Å, 90.00 90.00 90.00°
Closest atoms and distances in Å follow each position.
Space group P4/mmm (No. 123)
Asymmetric unit:
Cd1 0.0000 0.0000 0.0000 x1  2 Si 2.41
Co1 0.5000 0.5000 0.0000 x1  4 Cd 2.97, 8 Ni 3.20
Si1 0.0000 0.0000 0.5000 x1  4 Ni 2.10
Ni1 0.0000 0.5000 0.5000 x2  2 Si 2.10

Values from the calculation:
Its crystal system is tetragonal. The energy is -4.23 eV per atom.



| no. | mass density (g/cm³) |
| --- | --- |
| 1 | 6.94 |
| 2 | 7.47 |
| 3 | 12.04 |
| 4 | 13.07 |
| 5 | 10.09 |
| 6 | 6.18 |